(1)
Crystalline CuSb2As at its relaxed geometry, computed with PBE-GGA.

abc: 7.0684 7.0684 7.0684
angles: 90.00 90.00 90.00
With the nearest neighbours (Å) after each atom.
Space group F-43m (No. 216)
Symmetry-distinct sites (fractional):
Cu: 0.0000 0.0000 0.0000 [4 per cell]  4 As 3.06, 4 Sb 3.06
Sb: 0.0000 0.0000 0.5000 [4 per cell]  4 As 3.06, 4 Sb 3.06
Sb: 0.2500 0.2500 0.7500 [4 per cell]  4 Sb 3.06, 4 Cu 3.06
As: 0.2500 0.2500 0.2500 [4 per cell]  4 Sb 3.06, 4 Cu 3.06

The value obtained for the formation energy without anion corrections is 0.44 eV per atom. The calculation puts the calculated volume at 22.07 Å³/atom.

(2)
Crystalline CuSbAs at its relaxed geometry, computed with PBE-GGA.

abc: 3.3695 3.3695 11.5969
angles: 90.00 90.00 90.00
With the nearest neighbours (Å) after each atom.
Space group I4mm (No. 107)
Symmetry-distinct sites (fractional):
Cu: 0.0000 0.0000 0.0000 [2 per cell]  4 As 2.53
Sb: 0.0000 0.0000 0.3384 [2 per cell]  1 As 2.73, 4 Cu 3.03
As: 0.0000 0.0000 0.5740 [2 per cell]  4 Cu 2.53, 1 Sb 2.73

The calculation puts the energy above the most stable polymorph in this dataset at 107 meV per atom. The value obtained for the formation energy without anion corrections is 0.22 eV per atom. The calculation puts the calculated volume at 21.94 Å³/atom.

(3)
Crystalline CuSb2As at its relaxed geometry, computed with PBE-GGA.

abc: 6.9229 3.9488 6.9031
angles: 90.00 109.25 90.00
With the nearest neighbours (Å) after each atom.
Space group C2/m (No. 12)
Symmetry-distinct sites (fractional):
Cu: 0.0000 0.0000 0.0000 [2 per cell]  6 Sb 2.71-2.73
Sb: 0.2407 0.5000 0.2242 [4 per cell]  3 Cu 2.71-2.73, 3 As 2.91
As: 0.0000 0.5000 0.5000 [2 per cell]  6 Sb 2.91

The value obtained for the formation energy without anion corrections is 0.10 eV per atom. The calculation puts the calculated volume at 22.27 Å³/atom.

(4)
Crystalline CuSbAs2 at its relaxed geometry, computed with PBE-GGA.

abc: 3.9081 3.9081 18.6799
angles: 90.00 90.00 120.00
With the nearest neighbours (Å) after each atom.
Space group R3m (No. 160, hexagonal axes)
Symmetry-distinct sites (fractional):
Cu: 0.0000 0.0000 0.0000 [3 per cell]  6 As 2.52-2.57
Sb: 0.0000 0.0000 0.8343 [3 per cell]  6 As 2.92-3.03, 1 Cu 3.09
As: 0.0000 0.0000 0.3928 [3 per cell]  3 Cu 2.52
As: 0.0000 0.0000 0.6005 [3 per cell]  3 Cu 2.57

The value obtained for the formation energy without anion corrections is 0.16 eV per atom. The calculation puts the calculated volume at 20.59 Å³/atom.

(5)
Crystalline CuSbAs2 at its relaxed geometry, computed with PBE-GGA.

abc: 3.4101 5.2652 9.3097
angles: 90.00 90.00 90.00
With the nearest neighbours (Å) after each atom.
Space group Imm2 (No. 44)
Symmetry-distinct sites (fractional):
Cu: 0.0000 0.0000 0.0000 [2 per cell]  2 As 2.56, 2 Sb 2.73
Sb: 0.0000 0.5000 0.7296 [2 per cell]  2 Cu 2.73, 2 As 2.97
As: 0.0000 0.0000 0.5822 [2 per cell]  2 As 2.61
As: 0.0000 0.5000 0.2944 [2 per cell]  2 Cu 2.56, 2 As 2.61

The value obtained for the formation energy without anion corrections is 0.33 eV per atom. The calculation puts the calculated volume at 20.89 Å³/atom.

(6)
Crystalline CuSb2As at its relaxed geometry, computed with PBE-GGA.

abc: 3.7812 3.7812 6.7966
angles: 90.00 90.00 90.00
With the nearest neighbours (Å) after each atom.
Space group P4mm (No. 99)
Symmetry-distinct sites (fractional):
Cu: 0.0000 0.0000 0.0000 [1 per cell]  5 Sb 2.61-2.73
Sb: 0.0000 0.0000 0.3841 [1 per cell]  1 Cu 2.61, 4 As 2.83
Sb: 0.5000 0.5000 0.9181 [1 per cell]  1 As 2.71, 4 Cu 2.73
As: 0.5000 0.5000 0.5190 [1 per cell]  5 Sb 2.71-2.83

The value obtained for the formation energy without anion corrections is 0.15 eV per atom. The calculation puts the calculated volume at 24.29 Å³/atom.

(7)
Crystalline CuSb2As at its relaxed geometry, computed with PBE-GGA.

abc: 5.9375 7.8959 4.8258
angles: 90.00 125.58 90.00
With the nearest neighbours (Å) after each atom.
Space group C2/m (No. 12)
Symmetry-distinct sites (fractional):
Cu: 0.0000 0.0000 0.0000 [2 per cell]  4 Sb 2.78, 2 As 2.97
Sb: 0.2500 0.2500 0.5000 [4 per cell]  2 As 2.78, 2 Cu 2.78, 2 Sb 2.97
As: 0.0000 0.5000 0.0000 [2 per cell]  4 Sb 2.78, 2 Cu 2.97

The value obtained for the formation energy without anion corrections is 0.23 eV per atom. The calculation puts the calculated volume at 23.00 Å³/atom.

(8)
Crystalline CuSbAs at its relaxed geometry, computed with PBE-GGA.

abc: 3.8486 3.8486 4.6800
angles: 90.00 90.00 120.00
With the nearest neighbours (Å) after each atom.
Space group P3m1 (No. 156)
Symmetry-distinct sites (fractional):
Cu: 0.0000 0.0000 0.0000 [1 per cell]  3 As 2.49, 3 Sb 2.70
Sb: 0.6667 0.3333 0.3265 [1 per cell]  3 Cu 2.70, 3 As 3.01
As: 0.3333 0.6667 0.7592 [1 per cell]  3 Cu 2.49

The calculation puts the energy above the most stable polymorph in this dataset at 0 meV per atom. The value obtained for the formation energy without anion corrections is 0.11 eV per atom. The calculation puts the calculated volume at 20.01 Å³/atom.

(9)
Crystalline Cu4SbAs at its relaxed geometry, computed with PBE-GGA.

abc: 7.1733 7.1733 7.1733
angles: 90.00 90.00 90.00
With the nearest neighbours (Å) after each atom.
Space group F-43m (No. 216)
Symmetry-distinct sites (fractional):
Cu: 0.1252 0.1252 0.1252 [16 per cell]  6 Cu 2.53-2.54
Sb: 0.2500 0.2500 0.7500 [4 per cell]  12 Cu 2.97, 4 As 3.11
As: 0.0000 0.0000 0.5000 [4 per cell]  12 Cu 2.97, 4 Sb 3.11

The value obtained for the formation energy without anion corrections is 0.17 eV per atom. The calculation puts the calculated volume at 15.38 Å³/atom.

(10)
Crystalline CuSb2As at its relaxed geometry, computed with PBE-GGA.

abc: 3.0325 3.8935 7.8888
angles: 90.00 91.75 90.00
With the nearest neighbours (Å) after each atom.
Space group P2/m (No. 10)
Symmetry-distinct sites (fractional):
Cu: 0.0000 0.0000 0.0000 [1 per cell]  4 Sb 2.66
Sb: 0.0192 0.5000 0.7705 [2 per cell]  2 Cu 2.66, 2 As 2.89
As: 0.0000 0.0000 0.5000 [1 per cell]  4 Sb 2.89, 2 As 3.03

The value obtained for the formation energy without anion corrections is 0.18 eV per atom. The calculation puts the calculated volume at 23.28 Å³/atom.

(11)
Crystalline CuSb2As at its relaxed geometry, computed with PBE-GGA.

abc: 3.1173 3.5636 7.6345
angles: 90.00 90.00 90.00
With the nearest neighbours (Å) after each atom.
Space group Pmmm (No. 47)
Symmetry-distinct sites (fractional):
Cu: 0.0000 0.0000 0.0000 [1 per cell]  8 Sb 2.93, 2 Cu 3.12
Sb: 0.5000 0.5000 0.2254 [2 per cell]  4 Cu 2.93, 2 Sb 3.12, 4 As 3.16
As: 0.0000 0.0000 0.5000 [1 per cell]  2 As 3.12, 8 Sb 3.16

The value obtained for the formation energy without anion corrections is 0.32 eV per atom. The calculation puts the calculated volume at 21.20 Å³/atom.

(12)
Crystalline CuSb2As at its relaxed geometry, computed with PBE-GGA.

abc: 4.1917 5.0485 8.0710
angles: 90.00 90.00 90.00
With the nearest neighbours (Å) after each atom.
Space group Cmmm (No. 65)
Symmetry-distinct sites (fractional):
Cu: 0.0000 0.0000 0.0000 [2 per cell]  4 Sb 2.77
Sb: 0.0000 0.5000 0.2246 [4 per cell]  2 Cu 2.77, 2 As 3.05
As: 0.0000 0.0000 0.5000 [2 per cell]  8 Sb 3.05-3.36, 4 As 3.28

The value obtained for the formation energy without anion corrections is 0.33 eV per atom. The calculation puts the calculated volume at 21.35 Å³/atom.

(13)
Crystalline CuSbAs2Se at its relaxed geometry, computed with PBE-GGA.

abc: 4.6922 4.6922 4.9707
angles: 90.00 90.00 90.00
With the nearest neighbours (Å) after each atom.
Space group P4/mmm (No. 123)
Symmetry-distinct sites (fractional):
Cu: 0.0000 0.0000 0.0000 [1 per cell]  4 As 2.35, 2 Se 2.49
Sb: 0.5000 0.5000 0.5000 [1 per cell]  4 Se 3.32, 8 As 3.42
As: 0.0000 0.5000 0.0000 [2 per cell]  2 Cu 2.35
Se: 0.0000 0.0000 0.5000 [1 per cell]  2 Cu 2.49

The calculation puts the energy above the most stable polymorph in this dataset at 0 meV per atom. The value obtained for the formation energy without anion corrections is 0.49 eV per atom. The calculation puts the calculated volume at 21.89 Å³/atom.

(14)
Crystalline CuSbAsSe2 at its relaxed geometry, computed with PBE-GGA.

abc: 4.8389 4.8389 4.6994
angles: 90.00 90.00 90.00
With the nearest neighbours (Å) after each atom.
Space group P4/mmm (No. 123)
Symmetry-distinct sites (fractional):
Cu: 0.0000 0.0000 0.0000 [1 per cell]  2 As 2.35, 4 Se 2.42
Sb: 0.5000 0.5000 0.5000 [1 per cell]  8 Se 3.37, 4 As 3.42
As: 0.0000 0.0000 0.5000 [1 per cell]  2 Cu 2.35
Se: 0.0000 0.5000 0.0000 [2 per cell]  2 Cu 2.42

The calculation puts the energy above the most stable polymorph in this dataset at 0 meV per atom. The value obtained for the formation energy without anion corrections is 0.40 eV per atom. The calculation puts the calculated volume at 22.01 Å³/atom.

(15)
Crystalline Sr4CuSb2As2 at its relaxed geometry, computed with PBE-GGA.

abc: 10.0782 8.6060 6.3500
angles: 90.00 97.44 90.00
With the nearest neighbours (Å) after each atom.
Space group C2/m (No. 12)
Symmetry-distinct sites (fractional):
Sr: 0.1373 0.2434 0.2291 [8 per cell]  1 Cu 3.22, 3 As 3.30-3.38, 3 Sb 3.35-3.59
Cu: 0.0000 0.5000 0.5000 [2 per cell]  2 As 2.31
Sb: 0.1087 0.0000 0.6792 [4 per cell]  1 Sb 2.95
As: 0.1184 0.5000 0.8369 [4 per cell]  1 Cu 2.31

The value obtained for the formation energy without anion corrections is -0.77 eV per atom. The calculation puts the calculated volume at 30.34 Å³/atom.

(16)
Crystalline Sr2Cu4Sb3As at its relaxed geometry, computed with PBE-GGA.

abc: 4.5496 4.5496 10.6239
angles: 90.00 90.00 90.00
With the nearest neighbours (Å) after each atom.
Space group P-4m2 (No. 115)
Symmetry-distinct sites (fractional):
Sr: 0.0000 0.5000 0.2489 [2 per cell]  6 Sb 3.45-3.51, 8 Cu 3.49, 2 As 3.51
Cu: 0.0000 0.0000 0.0000 [1 per cell]  4 Sb 2.67
Cu: 0.0000 0.5000 0.6235 [2 per cell]  3 Sb 2.60-2.63, 2 As 2.63
Cu: 0.5000 0.5000 0.0000 [1 per cell]  4 Sb 2.67
Sb: 0.0000 0.5000 0.8681 [2 per cell]  5 Cu 2.60-2.67
Sb: 0.5000 0.5000 0.5000 [1 per cell]  4 Cu 2.63
As: 0.0000 0.0000 0.5000 [1 per cell]  4 Cu 2.63

The value obtained for the formation energy without anion corrections is -0.46 eV per atom. The calculation puts the calculated volume at 21.99 Å³/atom.

(17)
Crystalline Sr2CuSbAs at its relaxed geometry, computed with PBE-GGA.

abc: 7.5131 4.4053 9.6614
angles: 90.00 108.53 90.00
With the nearest neighbours (Å) after each atom.
Space group P2_1/m (No. 11)
Symmetry-distinct sites (fractional):
Sr: 0.2129 0.2500 0.4114 [2 per cell]  2 As 3.06, 1 Cu 3.26
Sr: 0.2438 0.2500 0.9749 [2 per cell]  3 As 3.04-3.14, 1 Cu 3.38
Cu: 0.4989 0.7500 0.2553 [2 per cell]  1 As 2.30
Sb: 0.3071 0.7500 0.7094 [2 per cell]  2 Cu 2.60
As: 0.1757 0.7500 0.1836 [2 per cell]  1 Cu 2.30

The value obtained for the formation energy without anion corrections is -0.76 eV per atom. The calculation puts the calculated volume at 30.32 Å³/atom.

(18)
Crystalline CuSb2TeAs at its relaxed geometry, computed with PBE-GGA.

abc: 5.3249 5.3249 5.4939
angles: 90.00 90.00 90.00
With the nearest neighbours (Å) after each atom.
Space group P4/mmm (No. 123)
Symmetry-distinct sites (fractional):
Cu: 0.0000 0.0000 0.0000 [1 per cell]  4 Te 3.77, 8 Sb 3.83
Sb: 0.0000 0.5000 0.5000 [2 per cell]  2 As 2.66
Te: 0.5000 0.5000 0.0000 [1 per cell]  2 As 2.75
As: 0.5000 0.5000 0.5000 [1 per cell]  4 Sb 2.66, 2 Te 2.75

The calculation puts the energy above the most stable polymorph in this dataset at 347 meV per atom. The value obtained for the formation energy without anion corrections is 0.93 eV per atom. The calculation puts the calculated volume at 31.16 Å³/atom.

(19)
Crystalline CuSbTe2As at its relaxed geometry, computed with PBE-GGA.

abc: 5.1214 5.1214 5.0247
angles: 90.00 90.00 90.00
With the nearest neighbours (Å) after each atom.
Space group P4/mmm (No. 123)
Symmetry-distinct sites (fractional):
Cu: 0.0000 0.0000 0.0000 [1 per cell]  2 Sb 2.51, 4 Te 2.56
Sb: 0.0000 0.0000 0.5000 [1 per cell]  2 Cu 2.51
Te: 0.0000 0.5000 0.0000 [2 per cell]  2 Cu 2.56
As: 0.5000 0.5000 0.5000 [1 per cell]  8 Te 3.59, 4 Sb 3.62

The calculation puts the energy above the most stable polymorph in this dataset at 0 meV per atom. The value obtained for the formation energy without anion corrections is 0.58 eV per atom. The calculation puts the calculated volume at 26.36 Å³/atom.

(20)
Crystalline CuSb2TeAs at its relaxed geometry, computed with PBE-GGA.

abc: 5.0409 5.0409 5.1399
angles: 90.00 90.00 90.00
With the nearest neighbours (Å) after each atom.
Space group P4/mmm (No. 123)
Symmetry-distinct sites (fractional):
Cu: 0.0000 0.0000 0.0000 [1 per cell]  4 Sb 2.52, 2 Te 2.57
Sb: 0.0000 0.5000 0.0000 [2 per cell]  2 Cu 2.52
Te: 0.0000 0.0000 0.5000 [1 per cell]  2 Cu 2.57
As: 0.5000 0.5000 0.5000 [1 per cell]  4 Te 3.56, 8 Sb 3.60

The calculation puts the energy above the most stable polymorph in this dataset at 0 meV per atom. The value obtained for the formation energy without anion corrections is 0.59 eV per atom. The calculation puts the calculated volume at 26.12 Å³/atom.